Entry from OQMD: crystalline DyCdInTe3 at its relaxed geometry (PBE).

Lattice parameters (Å, degrees): 9.890 9.890 9.668 103.11 103.11 25.58
Element x y z (fractional)
Dy: 0.176 0.176 0.089
Dy: 0.824 0.824 0.911
Cd: 0.471 0.471 0.779
Cd: 0.529 0.529 0.221
In: 0.135 0.135 0.576
In: 0.865 0.865 0.424
Te: 0.000 0.000 0.000
Te: 0.318 0.318 0.683
Te: 0.336 0.336 0.139
Te: 0.500 0.500 0.500
Te: 0.664 0.664 0.861
Te: 0.682 0.682 0.317

- Total energy: -3.639 eV per atom
- Crystal system: monoclinic


Entry from OQMD: crystalline ZrCoAsOs at its relaxed geometry (PBE).

Lattice parameters (Å, degrees): 4.487 4.487 4.487 60.00 60.00 60.00
Element x y z (fractional)
Zr: 0.000 0.000 0.000
Co: 0.500 0.500 0.500
As: 0.250 0.250 0.250
Os: 0.750 0.750 0.750

- Total energy: -7.701 eV per atom
- Crystal system: cubic


Entry from OQMD: crystalline Lu2Zr4Tl3C3 at its relaxed geometry (PBE).

Lattice parameters (Å, degrees): 5.942 5.942 15.675 101.02 101.02 60.02
Element x y z (fractional)
Lu: 0.030 0.867 0.589
Lu: 0.133 0.970 0.911
Lu: 0.867 0.030 0.089
Lu: 0.970 0.133 0.411
Zr: 0.193 0.356 0.079
Zr: 0.302 0.478 0.421
Zr: 0.356 0.193 0.579
Zr: 0.478 0.302 0.921
Zr: 0.522 0.698 0.079
Zr: 0.644 0.807 0.421
Zr: 0.698 0.522 0.579
Zr: 0.807 0.644 0.921
Tl: 0.084 0.281 0.751
Tl: 0.281 0.084 0.251
Tl: 0.449 0.551 0.750
Tl: 0.551 0.449 0.250
Tl: 0.719 0.916 0.749
Tl: 0.916 0.719 0.249
C: 0.000 0.500 0.500
C: 0.172 0.657 0.000
C: 0.343 0.828 0.500
C: 0.500 0.000 0.000
C: 0.657 0.172 0.500
C: 0.828 0.343 0.000

- Total energy: -7.066 eV per atom
- Crystal system: monoclinic


Entry from OQMD: crystalline YNbCoAu at its relaxed geometry (PBE).

Lattice parameters (Å, degrees): 4.731 4.731 4.731 60.00 60.00 60.00
Element x y z (fractional)
Y: 0.000 0.000 0.000
Nb: 0.500 0.500 0.500
Co: 0.750 0.750 0.750
Au: 0.250 0.250 0.250

- Total energy: -6.729 eV per atom
- E_form: 0.00 eV per atom
- Crystal system: cubic